## CsAg3Os (PBE-GGA)

Data for crystalline CsAg3Os at its relaxed geometry.

a = 5.8576 Å, b = 5.8576 Å, c = 5.8576 Å
α = 90.00°, β = 90.00°, γ = 90.00°
Site moments in Bohr magnetons follow the coordinates.
Atoms (fractional coordinates):
Ag1 0.5000 0.0000 0.0000  -0.04
Ag2 0.0000 0.5000 0.0000  -0.01
Ag3 0.0000 0.0000 0.5000  0.00
Cs1 0.0000 0.0000 0.0000  -0.03
Os1 0.5000 0.5000 0.5000  2.95

Computed properties:
Formation enthalpy at 0 K (eV/atom): 2.542
SG: Pm-3m (221)
VASP energy (eV per atom): -1.5858

***

## Cs2AgOs (PBE-GGA)

Data for crystalline Cs2AgOs at its relaxed geometry.

a = 6.1863 Å, b = 6.1863 Å, c = 6.1863 Å
α = 60.00°, β = 60.00°, γ = 60.00°
Site moments in Bohr magnetons follow the coordinates.
Atoms (fractional coordinates):
Os1 0.5000 0.5000 0.5000  2.56
Cs1 0.7500 0.7500 0.7500  0.01
Cs2 0.2500 0.2500 0.2500  0.01
Ag1 0.0000 0.0000 0.0000  0.03

Computed properties:
Formation enthalpy at 0 K (eV/atom): 1.461
Energy relative to the lowest polymorph listed for this composition (eV per atom): 0.254
SG: Fm-3m (225)
VASP energy (eV per atom): -2.4858

***

Q: Which value of VASP energy does entry 1 give?
A: -1.5858 eV per atom